A plane-wave DFT calculation with PBE was carried out for crystalline ZnTeMo2 at its relaxed geometry.

Properties
SG: Pm
Crystal system: monoclinic

a = 3.184 Å, b = 4.665 Å, c = 5.174 Å
α = 90.00°, β = 105.44°, γ = 90.00°
Fractional positions:
Zn  0.000  0.000  0.000
Te  0.643  0.500  0.738
Mo  0.647  0.000  0.437
Mo  0.970  0.500  0.301

A plane-wave DFT calculation with PBE was carried out for crystalline CsZnTe3As at its relaxed geometry.

Properties
SG: P2_1/m
Crystal system: monoclinic

a = 10.140 Å, b = 4.333 Å, c = 10.923 Å
α = 90.00°, β = 112.46°, γ = 90.00°
Fractional positions:
Cs  0.211  0.250  0.253
Cs  0.789  0.750  0.747
Zn  0.082  0.250  0.614
Zn  0.918  0.750  0.386
Te  0.139  0.250  0.873
Te  0.203  0.750  0.549
Te  0.474  0.750  0.143
Te  0.526  0.250  0.857
Te  0.797  0.250  0.451
Te  0.861  0.750  0.127
As  0.336  0.750  0.879
As  0.664  0.250  0.121

no.,uncorrected formation energy (eV per formula unit)
1,1.7
2,-2.8